1.
SbAsOsSe2: PBEsol geometry, meta-GGA SCAN.

Geometry as extended XYZ:
```
5
Lattice="5.0942 0.0000 0.0000 0.0000 5.0942 0.0000 0.0000 0.0000 5.1879" Properties=species:S:1:pos:R:3 pbc="T T T"
Os 2.5471 2.5471 2.5939
Sb 0.0000 0.0000 0.0000
Se 0.0000 2.5471 0.0000
As 0.0000 0.0000 2.5939
Se 2.5471 0.0000 0.0000
```

Output
Total moment   3.27 μB/f.u.
Density   6.72 g/cm3
Energy relative to the elements, uncorrected   1.818 eV per atom

=====

2.
Sc2AsOs: PBEsol geometry, meta-GGA SCAN.

Geometry as extended XYZ:
```
4
Lattice="3.8406 0.0000 0.0000 0.0000 3.8406 0.0000 -1.9203 -1.9203 4.5885" Properties=species:S:1:pos:R:3 pbc="T T T"
As 1.9203 1.9203 0.0000
Os 0.0000 1.9203 2.2942
Sc 0.0000 0.0000 0.0000
Sc 1.9203 0.0000 2.2942
```

Output
Total moment   0.00 μB/f.u.
Density   8.71 g/cm3
E_form   -0.547 eV per atom

=====

3.
Sc2AsOs: PBEsol geometry, meta-GGA SCAN.

Geometry as extended XYZ:
```
4
Lattice="-1.9806 0.8229 -2.3051 -2.7851 -1.4431 -0.2725 -5.1743 5.7315 4.3417" Properties=species:S:1:pos:R:3 pbc="T T T"
Sc -4.1879 4.0979 2.9110
Os 0.0000 0.0000 0.0000
As -4.9700 2.5557 0.8821
Sc -5.7521 1.0134 -1.1468
```

Output
Total moment   0.00 μB/f.u.
Density   7.92 g/cm3
E_form   0.168 eV per atom

=====

4.
Sc2AsOs: PBEsol geometry, meta-GGA SCAN.

Geometry as extended XYZ:
```
4
Lattice="3.0795 0.0000 0.0000 0.0000 3.0795 0.0000 0.0000 0.0000 7.6504" Properties=species:S:1:pos:R:3 pbc="T T T"
Os 1.5397 1.5397 5.4602
Sc 1.5397 1.5397 2.2309
Sc 0.0000 0.0000 7.2958
As 0.0000 0.0000 4.1391
```

Output
Total moment   0.85 μB/f.u.
Density   8.13 g/cm3
E_form   -0.356 eV per atom

=====

5.
ScAs3Os: PBEsol geometry, meta-GGA SCAN.

Geometry as extended XYZ:
```
5
Lattice="4.8610 0.0000 0.0000 0.0000 4.8610 0.0000 0.0000 0.0000 4.8610" Properties=species:S:1:pos:R:3 pbc="T T T"
Os 2.4305 2.4305 2.4305
As 2.4305 0.0000 0.0000
As 0.0000 0.0000 2.4305
Sc 0.0000 0.0000 0.0000
As 0.0000 2.4305 0.0000
```

Output
Total moment   2.46 μB/f.u.
Density   6.65 g/cm3
E_form   1.356 eV per atom

=====

6.
AsOs3Se: PBEsol geometry, meta-GGA SCAN.

Geometry as extended XYZ:
```
5
Lattice="-2.8266 0.3520 3.4892 3.4625 -0.4307 2.8485 0.5562 4.4698 -0.0003" Properties=species:S:1:pos:R:3 pbc="T T T"
As 0.5961 2.1955 3.1687
Se 0.0000 0.0000 0.0000
Os 1.7313 -0.2154 1.4242
Os 0.2781 2.2349 -0.0001
Os -1.4133 0.1760 1.7446
```

Output
Total moment   0.00 μB/f.u.
Density   13.17 g/cm3
Energy relative to the elements, uncorrected   2.035 eV per atom

=====

7.
AsOsSe2: PBEsol geometry, meta-GGA SCAN.

Geometry as extended XYZ:
```
4
Lattice="-1.6160 1.0356 2.3477 3.5295 -0.8328 2.7967 1.6514 4.3591 -0.7860" Properties=species:S:1:pos:R:3 pbc="T T T"
Os 2.5904 1.7631 1.0054
Se 0.0177 2.6973 0.7809
Se 0.0000 0.0000 0.0000
As 0.9567 0.1014 2.5722
```

Output
Total moment   0.00 μB/f.u.
Density   10.70 g/cm3
Energy relative to the elements, uncorrected   0.960 eV per atom

=====

8.
SrAs2OsSe: PBEsol geometry, meta-GGA SCAN.

Geometry as extended XYZ:
```
5
Lattice="-1.2910 -5.1760 0.3958 2.9015 -1.0620 -4.4240 4.3593 -0.8530 3.0638" Properties=species:S:1:pos:R:3 pbc="T T T"
As 1.4508 -0.5310 -2.2120
Os 2.9849 -3.5455 -0.4822
As 2.1797 -0.4265 1.5319
Sr 0.0000 0.0000 0.0000
Se -0.6455 -2.5880 0.1979
```

Output
Total moment   2.69 μB/f.u.
Density   5.40 g/cm3
Energy relative to the elements, uncorrected   2.026 eV per atom